# 1
The following is a PBE-GGA calculation of a geometry-optimized Ce2HoErBi5 structure, from the Alexandria database.

Summary:
SG ... P4/mmm (123)
E_form ... -0.09 eV/atom
DOS at the Fermi energy ... 20.2 states/eV per cell

a b c (Å): 5.436 5.436 11.805
angles (deg): 90.00 90.00 90.00
Last column: magnetic moment on the atom in μB.
Fractional coordinates of all 9 atoms:
Ce: 0.500 0.500 0.283  0.99
Bi: 0.000 0.500 0.500  0.00
Bi: 0.500 0.000 0.500  0.00
Ce: 0.500 0.500 0.717  0.99
Er: 0.000 0.000 0.000  -0.01
Bi: 0.500 0.500 0.000  -0.02
Bi: 0.000 0.000 0.246  -0.01
Ho: 0.000 0.000 0.500  -0.01
Bi: 0.000 0.000 0.754  -0.01

=====

# 2
The following is a PBE-GGA calculation of a geometry-optimized CsRuRh3 structure, from the Alexandria database.

Summary:
Relative energy among the computed polymorphs ... 1.450 eV per atom
SG ... Pm-3m (221)
E_form ... 2.55 eV/atom
DOS at the Fermi energy ... 6.3 states/eV per cell

a b c (Å): 4.876 4.876 4.876
angles (deg): 90.00 90.00 90.00
Last column: magnetic moment on the atom in μB.
Fractional coordinates of all 5 atoms:
Ru: 0.500 0.500 0.500  2.61
Rh: 0.000 0.500 0.000  0.36
Rh: 0.500 0.000 0.000  0.53
Rh: 0.000 0.000 0.500  0.20
Cs: 0.000 0.000 0.000  -0.01

=====

# 3
The following is a PBE-GGA calculation of a geometry-optimized LiTcB3 structure, from the Alexandria database.

Summary:
Relative energy among the computed polymorphs ... 0.000 eV per atom
SG ... Pm-3m (221)
E_form ... 0.67 eV/atom
DOS at the Fermi energy ... 1.8 states/eV per cell

a b c (Å): 4.082 4.082 4.082
angles (deg): 90.00 90.00 90.00
Fractional coordinates of all 5 atoms:
Tc: 0.000 0.000 0.000
B: 0.500 0.000 0.000
Li: 0.500 0.500 0.500
B: 0.000 0.000 0.500
B: 0.000 0.500 0.000

=====

# 4
The following is a PBE-GGA calculation of a geometry-optimized NpSc2Ga structure, from the Alexandria database.

Summary:
SG ... P4/mmm (123)
E_form ... -0.10 eV/atom
DOS at the Fermi energy ... 7.1 states/eV per cell

a b c (Å): 3.142 3.142 8.449
angles (deg): 90.00 90.00 90.00
Last column: magnetic moment on the atom in μB.
Fractional coordinates of all 4 atoms:
Ga: 0.500 0.500 0.500  -0.01
Np: 0.500 0.500 0.000  3.57
Sc: 0.000 0.000 0.723  -0.07
Sc: 0.000 0.000 0.277  -0.07

=====

# 5
The following is a PBE-GGA calculation of a geometry-optimized RbSr3Ir structure, from the Alexandria database.

Summary:
SG ... Pm-3m (221)
E_form ... -0.05 eV/atom
DOS at the Fermi energy ... 2.7 states/eV per cell

a b c (Å): 6.082 6.082 6.082
angles (deg): 90.00 90.00 90.00
Fractional coordinates of all 5 atoms:
Ir: 0.000 0.000 0.000
Rb: 0.500 0.500 0.500
Sr: 0.000 0.000 0.500
Sr: 0.500 0.000 0.000
Sr: 0.000 0.500 0.000

=====

# 6
The following is a PBE-GGA calculation of a geometry-optimized Ho8C3Se3S structure, from the Alexandria database.

Summary:
Raw formation energy ... -1.216 eV/atom
SG ... R-3m (166)
DOS at the Fermi energy ... 5.4 states/eV per cell

a b c (Å): 7.540 7.540 7.758
angles (deg): 119.07 90.00 120.00
Fractional coordinates of all 15 atoms:
C: 0.500 0.500 0.500
Ho: 0.251 0.965 0.716
Se: 0.000 0.000 0.000
Ho: 0.287 0.035 0.284
C: 0.000 0.500 0.500
Ho: 0.735 0.469 0.704
S: 0.000 0.000 0.500
Ho: 0.749 0.035 0.284
Se: 0.000 0.500 0.000
C: 0.500 0.000 0.500
Se: 0.500 0.500 0.000
Ho: 0.265 0.531 0.296
Ho: 0.749 0.498 0.284
Ho: 0.713 0.965 0.716
Ho: 0.251 0.502 0.716

=====

# 7
The following is a PBE-GGA calculation of a geometry-optimized YZr2TaMn structure, from the Alexandria database.

Summary:
Relative energy among the computed polymorphs ... 0.000 eV per atom
SG ... P4/mmm (123)
E_form ... 0.33 eV/atom
DOS at the Fermi energy ... 4.7 states/eV per cell

a b c (Å): 4.946 4.696 4.946
angles (deg): 90.00 90.00 90.00
Fractional coordinates of all 5 atoms:
Mn: 0.000 0.000 0.000
Zr: 0.500 0.000 0.000
Y: 0.500 0.500 0.500
Ta: 0.000 0.500 0.000
Zr: 0.000 0.000 0.500

=====

# 8
The following is a PBE-GGA calculation of a geometry-optimized NaFe2Br structure, from the Alexandria database.

Summary:
Raw formation energy ... 1.021 eV/atom
Relative energy among the computed polymorphs ... 0.240 eV per atom
SG ... Fm-3m (225)
DOS at the Fermi energy ... 8.2 states/eV per cell

a b c (Å): 4.629 4.629 4.629
angles (deg): 60.00 60.00 60.00
Last column: magnetic moment on the atom in μB.
Fractional coordinates of all 4 atoms:
Fe: 0.250 0.250 0.250  2.79
Fe: 0.750 0.750 0.750  2.79
Na: 0.000 0.000 0.000  -0.03
Br: 0.500 0.500 0.500  0.06

=====

# 9
The following is a PBE-GGA calculation of a geometry-optimized AcSbHRu structure, from the Alexandria database.

Summary:
SG ... P4/nmm (129)
DOS at the Fermi energy ... 4.3 states/eV per cell

a b c (Å): 4.500 4.500 7.992
angles (deg): 90.00 90.00 90.00
Fractional coordinates of all 8 atoms:
Ru: 0.000 0.000 0.000
Ru: 0.500 0.500 0.000
Ac: 0.000 0.500 0.332
Sb: 0.000 0.500 0.828
H: 0.000 0.000 0.500
Sb: 0.500 0.000 0.172
Ac: 0.500 0.000 0.668
H: 0.500 0.500 0.500

=====

# 10
The following is a PBE-GGA calculation of a geometry-optimized PuAlGaGe structure, from the Alexandria database.

Summary:
Relative energy among the computed polymorphs ... 0.188 eV per atom
SG ... F-43m (216)
E_form ... -0.19 eV/atom
DOS at the Fermi energy ... 8.1 states/eV per cell

a b c (Å): 4.806 4.806 4.806
angles (deg): 60.00 60.00 60.00
Last column: magnetic moment on the atom in μB.
Fractional coordinates of all 4 atoms:
Pu: 0.750 0.750 0.750  5.30
Al: 0.250 0.250 0.250  -0.01
Ga: 0.000 0.000 0.000  0.01
Ge: 0.500 0.500 0.500  0.03

=====

# 11
The following is a PBE-GGA calculation of a geometry-optimized SrAcSiBr structure, from the Alexandria database.

Summary:
Raw formation energy ... -1.005 eV/atom
Relative energy among the computed polymorphs ... 0.000 eV per atom
SG ... R3m (160)

a b c (Å): 4.578 4.577 8.399
angles (deg): 90.02 105.81 120.00
Fractional coordinates of all 4 atoms:
Si: 0.309 0.552 0.877
Sr: 0.498 0.147 0.660
Ac: 0.103 0.949 0.068
Br: 0.968 0.382 0.364

=====

# 12
The following is a PBE-GGA calculation of a geometry-optimized PmDyRu2 structure, from the Alexandria database.

Summary:
Relative energy among the computed polymorphs ... 0.001 eV per atom
SG ... I4/mmm (139)
E_form ... -0.21 eV/atom
DOS at the Fermi energy ... 3.5 states/eV per cell

a b c (Å): 4.864 4.864 4.866
angles (deg): 119.92 119.92 90.12
Fractional coordinates of all 4 atoms:
Pm: 0.500 0.000 0.000
Dy: 0.000 0.500 0.000
Ru: 0.750 0.750 0.500
Ru: 0.250 0.250 0.500

=====

# 13
The following is a PBE-GGA calculation of a geometry-optimized TaHgIO2 structure, from the Alexandria database.

Summary:
Raw formation energy ... -1.107 eV/atom
Relative energy among the computed polymorphs ... 0.000 eV per atom
SG ... P4/mmm (123)
DOS at the Fermi energy ... 2.4 states/eV per cell

a b c (Å): 4.076 4.076 6.010
angles (deg): 90.00 90.00 90.00
Fractional coordinates of all 5 atoms:
Ta: 0.000 0.000 0.000
I: 0.000 0.000 0.500
Hg: 0.500 0.500 0.500
O: 0.000 0.500 0.000
O: 0.500 0.000 0.000

=====

# 14
The following is a PBE-GGA calculation of a geometry-optimized Sm4Dy3ErTe8 structure, from the Alexandria database.

Summary:
Raw formation energy ... -1.321 eV/atom
SG ... R-3m (166)
DOS at the Fermi energy ... 12.0 states/eV per cell

a b c (Å): 8.726 8.855 8.727
angles (deg): 119.52 120.00 90.00
Fractional coordinates of all 16 atoms:
Te: 0.246 0.741 0.492
Te: 0.754 0.259 0.508
Dy: 0.500 0.500 0.000
Sm: 0.000 0.000 0.000
Dy: 0.500 0.500 0.500
Sm: 0.500 0.000 0.000
Te: 0.748 0.741 0.995
Sm: 0.500 0.000 0.500
Te: 0.747 0.742 0.495
Te: 0.754 0.259 0.005
Dy: 0.000 0.500 0.500
Er: 0.000 0.500 0.000
Sm: 0.000 0.000 0.500
Te: 0.252 0.259 0.005
Te: 0.253 0.258 0.505
Te: 0.246 0.741 0.995

=====

# 15
The following is a PBE-GGA calculation of a geometry-optimized GaCo2B structure, from the Alexandria database.

Summary:
Relative energy among the computed polymorphs ... 0.262 eV per atom
SG ... P4/mmm (123)
E_form ... 0.07 eV/atom
DOS at the Fermi energy ... 2.0 states/eV per cell

a b c (Å): 2.854 3.726 3.726
angles (deg): 90.00 90.00 90.00
Fractional coordinates of all 4 atoms:
Co: 0.000 0.500 0.000
Co: 0.000 0.000 0.500
Ga: 0.500 0.000 0.000
B: 0.500 0.500 0.500

=====

# 16
The following is a PBE-GGA calculation of a geometry-optimized YFeSb2 structure, from the Alexandria database.

Summary:
Raw formation energy ... 0.074 eV/atom
SG ... Fm-3m (225)
DOS at the Fermi energy ... 13.0 states/eV per cell

a b c (Å): 4.973 4.973 4.973
angles (deg): 60.00 60.00 60.00
Fractional coordinates of all 4 atoms:
Sb: 0.750 0.750 0.750
Fe: 0.000 0.000 0.000
Sb: 0.250 0.250 0.250
Y: 0.500 0.500 0.500

=====

# 17
The following is a PBE-GGA calculation of a geometry-optimized Cs2LiPu2S6 structure, from the Alexandria database.

Summary:
Raw formation energy ... -1.323 eV/atom
SG ... C2/m (12)
DOS at the Fermi energy ... 13.1 states/eV per cell

a b c (Å): 6.922 6.922 8.424
angles (deg): 97.14 97.14 120.43
Last column: magnetic moment on the atom in μB.
Fractional coordinates of all 11 atoms:
Li: 0.000 0.000 0.500  0.00
Pu: 0.334 0.666 0.500  4.28
Pu: 0.666 0.334 0.500  4.28
S: 0.703 0.703 0.672  -0.19
S: 0.949 0.594 0.327  -0.19
Cs: 0.160 0.840 0.000  -0.01
S: 0.594 0.949 0.327  -0.19
Cs: 0.840 0.160 0.000  -0.01
S: 0.297 0.297 0.328  -0.19
S: 0.406 0.051 0.673  -0.19
S: 0.051 0.406 0.673  -0.19

=====

# 18
The following is a PBE-GGA calculation of a geometry-optimized ErTlPbBr6 structure, from the Alexandria database.

Summary:
Raw formation energy ... -1.346 eV/atom
SG ... P-31c (163)
DOS at the Fermi energy ... 0.0 states/eV per cell

a b c (Å): 7.616 7.616 14.235
angles (deg): 90.00 90.00 120.00
Fractional coordinates of all 18 atoms:
Br: 0.026 0.648 0.864
Br: 0.648 0.622 0.136
Br: 0.622 0.648 0.636
Br: 0.352 0.378 0.864
Br: 0.648 0.026 0.364
Pb: 0.333 0.667 0.250
Tl: 0.000 0.000 0.000
Br: 0.622 0.974 0.864
Tl: 0.000 0.000 0.500
Er: 0.333 0.667 0.750
Br: 0.352 0.974 0.636
Pb: 0.667 0.333 0.750
Br: 0.378 0.026 0.136
Br: 0.378 0.352 0.364
Br: 0.974 0.622 0.364
Br: 0.026 0.378 0.636
Br: 0.974 0.352 0.136
Er: 0.667 0.333 0.250

=====

# 19
The following is a PBE-GGA calculation of a geometry-optimized Pa2Be4Si3Os structure, from the Alexandria database.

Summary:
Raw formation energy ... -0.353 eV/atom
SG ... P-4m2 (115)
DOS at the Fermi energy ... 8.7 states/eV per cell

a b c (Å): 3.890 3.890 9.532
angles (deg): 90.00 90.00 90.00
Fractional coordinates of all 10 atoms:
Pa: 0.000 0.500 0.747
Be: 0.500 0.000 0.632
Be: 0.000 0.000 0.000
Os: 0.500 0.500 0.500
Be: 0.000 0.500 0.368
Be: 0.500 0.500 0.000
Si: 0.000 0.500 0.131
Si: 0.500 0.000 0.869
Si: 0.000 0.000 0.500
Pa: 0.500 0.000 0.253

=====

# 20
The following is a PBE-GGA calculation of a geometry-optimized Pm8Dy2Ga structure, from the Alexandria database.

Summary:
SG ... C2/m (12)
E_form ... -0.02 eV/atom
DOS at the Fermi energy ... 17.9 states/eV per cell

a b c (Å): 5.554 7.505 9.880
angles (deg): 112.28 106.32 90.00
Fractional coordinates of all 11 atoms:
Pm: 0.632 0.397 0.263
Dy: 0.808 0.308 0.617
Pm: 0.632 0.867 0.264
Pm: 0.000 0.752 0.000
Pm: 0.182 0.183 0.365
Pm: 0.368 0.133 0.736
Pm: 0.368 0.603 0.737
Pm: 0.818 0.817 0.635
Ga: 0.500 0.000 0.000
Pm: 0.000 0.248 0.000
Dy: 0.192 0.692 0.383

=====

# 21
The following is a PBE-GGA calculation of a geometry-optimized Zn2TeAu structure, from the Alexandria database.

Summary:
Raw formation energy ... 0.058 eV/atom
SG ... C2/m (12)
DOS at the Fermi energy ... 1.8 states/eV per cell

a b c (Å): 5.050 4.884 4.650
angles (deg): 71.01 73.06 112.23
Fractional coordinates of all 4 atoms:
Au: 0.000 0.500 0.500
Zn: 0.000 0.000 0.000
Te: 0.500 0.500 0.000
Zn: 0.500 0.000 0.500

=====

# 22
The following is a PBE-GGA calculation of a geometry-optimized PrNiH3 structure, from the Alexandria database.

Summary:
SG ... Pm-3m (221)
DOS at the Fermi energy ... 2.9 states/eV per cell

a b c (Å): 3.649 3.649 3.649
angles (deg): 90.00 90.00 90.00
Fractional coordinates of all 5 atoms:
H: 0.000 0.000 0.500
Pr: 0.500 0.500 0.500
Ni: 0.000 0.000 0.000
H: 0.000 0.500 0.000
H: 0.500 0.000 0.000

=====

# 23
The following is a PBE-GGA calculation of a geometry-optimized NaHgBrCl2 structure, from the Alexandria database.

Summary:
Raw formation energy ... -0.983 eV/atom
SG ... P2_1/m (11)
DOS at the Fermi energy ... 0.0 states/eV per cell

a b c (Å): 5.813 7.005 8.362
angles (deg): 75.86 90.00 90.00
Fractional coordinates of all 10 atoms:
Cl: 0.250 0.138 0.594
Br: 0.750 0.446 0.222
Na: 0.750 0.177 0.554
Hg: 0.750 0.142 0.114
Cl: 0.250 0.028 0.113
Na: 0.250 0.823 0.446
Br: 0.250 0.554 0.778
Cl: 0.750 0.862 0.406
Cl: 0.750 0.972 0.887
Hg: 0.250 0.858 0.886

=====

# 24
The following is a PBE-GGA calculation of a geometry-optimized CeNi5Ir structure, from the Alexandria database.

Summary:
SG ... Pnma (62)
E_form ... -0.25 eV/atom
DOS at the Fermi energy ... 39.4 states/eV per cell

a b c (Å): 4.865 7.929 9.966
angles (deg): 90.00 90.00 90.00
Last column: magnetic moment on the atom in μB.
Fractional coordinates of all 28 atoms:
Ni: 0.750 0.821 0.758  0.35
Ni: 0.750 0.897 0.521  0.13
Ni: 0.250 0.103 0.479  0.13
Ir: 0.750 0.646 0.350  0.31
Ir: 0.250 0.354 0.650  0.31
Ni: 0.750 0.062 0.907  0.24
Ce: 0.250 0.244 0.941  -0.19
Ni: 0.996 0.431 0.191  0.31
Ni: 0.250 0.603 0.021  0.13
Ni: 0.750 0.397 0.979  0.13
Ni: 0.750 0.321 0.742  0.35
Ni: 0.004 0.069 0.691  0.31
Ni: 0.004 0.569 0.809  0.31
Ni: 0.504 0.431 0.191  0.31
Ir: 0.250 0.854 0.850  0.31
Ni: 0.496 0.069 0.691  0.31
Ni: 0.250 0.179 0.242  0.35
Ce: 0.750 0.256 0.441  -0.19
Ce: 0.250 0.744 0.559  -0.19
Ni: 0.504 0.931 0.309  0.31
Ni: 0.496 0.569 0.809  0.31
Ni: 0.250 0.938 0.093  0.24
Ir: 0.750 0.146 0.150  0.31
Ni: 0.250 0.679 0.258  0.35
Ni: 0.996 0.931 0.309  0.31
Ce: 0.750 0.756 0.059  -0.19
Ni: 0.250 0.438 0.407  0.24
Ni: 0.750 0.562 0.593  0.24

=====

| no. | DFT total energy (eV per cell) |
| --- | --- |
| 1 | -41.25 |
| 2 | -19.43 |
| 3 | -28.96 |
| 4 | -29.05 |
| 5 | -15.13 |
| 6 | -97.12 |
| 7 | -42.93 |
| 8 | -15.84 |
| 9 | -46.75 |
| 10 | -26.46 |
| 11 | -16.91 |
| 12 | -28.76 |
| 13 | -29.15 |
| 14 | -83.52 |
| 15 | -23.62 |
| 16 | -22.88 |
| 17 | -71.61 |
| 18 | -65.59 |
| 19 | -64.93 |
| 20 | -50.42 |
| 21 | -8.74 |
| 22 | -22.82 |
| 23 | -23.80 |
| 24 | -181.91 |